1.
# SrTcAg2Se

An optimized crystal structure of SrTcAg2Se (PBEsol, Alexandria via LeMat-Bulk).

Summary:
* spin magnetization: 4.21 μB per cell
* formation energy (no corrections): 1.586 eV per atom
* theoretical density: 5148 kg/m³

```
SrTcAg2Se
1.0
5.445 0.000 0.000
0.000 5.334 0.000
0.000 0.000 5.334
Sr Se Tc Ag
1 1 1 2
direct
0.000 0.000 0.000
0.500 0.000 0.000
0.500 0.500 0.500
0.000 0.000 0.500
0.000 0.500 0.000
```

2.
# SrLi3

An optimized crystal structure of SrLi3 (PBEsol, Alexandria via LeMat-Bulk).

Summary:
* spin magnetization: 0.00 μB per cell
* ΔE_f: 2.9 kJ/mol of atoms
* theoretical density: 1552 kg/m³

```
SrLi3
1.0
-1.735 4.573 -1.616
-5.403 -0.668 3.911
3.271 3.021 5.035
Sr Li
2 6
direct
0.000 0.389 0.000
0.500 0.611 0.500
0.500 0.775 0.000
0.000 0.225 0.500
0.000 0.882 0.769
0.000 0.882 0.231
0.500 0.118 0.269
0.500 0.118 0.731
```

3.
# AsIrS2

An optimized crystal structure of AsIrS2 (PBEsol, Alexandria via LeMat-Bulk).

Summary:
* spin magnetization: 0.00 μB per cell
* formation energy (no corrections): -0.091 eV per atom
* theoretical density: 7012 kg/m³

```
AsIrS2
1.0
-1.813 -2.619 1.400
1.048 -3.285 -0.465
3.897 -1.522 6.523
As Ir S
1 1 2
direct
0.000 0.000 0.000
0.500 0.500 0.500
0.887 0.887 0.340
0.113 0.113 0.660
```

4.
# NdDy3

An optimized crystal structure of NdDy3 (PBEsol, Alexandria via LeMat-Bulk).

Summary:
* spin magnetization: 0.00 μB per cell
* ΔE_f: 2.1 kJ/mol of atoms
* energy above the lowest structure with this stoichiometry: 0.009 eV per atom
* theoretical density: 8533 kg/m³

```
NdDy3
1.0
-2.682 4.931 0.217
-0.965 -0.215 -7.040
-4.862 -2.836 4.343
Nd Dy
2 6
direct
0.250 0.667 0.333
0.750 0.333 0.667
0.750 0.834 0.166
0.750 0.834 0.668
0.750 0.332 0.166
0.250 0.166 0.834
0.250 0.166 0.332
0.250 0.668 0.834
```

5.
# RbTi3Sb

An optimized crystal structure of RbTi3Sb (PBEsol, Alexandria via LeMat-Bulk).

Summary:
* spin magnetization: 0.88 μB per cell
* formation energy (no corrections): 1.748 eV per atom
* theoretical density: 5833 kg/m³

```
RbTi3Sb
1.0
-1.038 -2.660 3.657
3.417 -2.919 -1.153
2.962 2.435 2.612
Sb Rb Ti
1 1 3
direct
0.500 0.500 0.500
0.000 0.000 0.000
0.000 0.500 0.000
0.000 0.000 0.500
0.500 0.000 0.000
```

6.
# TcNi2Pt

An optimized crystal structure of TcNi2Pt (PBEsol, Alexandria via LeMat-Bulk).

Summary:
* spin magnetization: 0.00 μB per cell
* ΔE_f: -5.7 kJ/mol of atoms
* energy above the lowest structure with this stoichiometry: 0.028 eV per atom
* theoretical density: 13722 kg/m³

```
TcNi2Pt
1.0
2.640 0.000 0.000
0.000 2.640 0.000
0.000 0.000 7.126
Ni Tc Pt
2 1 1
direct
0.000 0.000 0.007
0.500 0.500 0.232
0.500 0.500 0.769
0.000 0.000 0.492
```

7.
# CeTiGe

An optimized crystal structure of CeTiGe (PBEsol, Alexandria via LeMat-Bulk).

Summary:
* spin magnetization: 1.95 μB per cell
* ΔE_f: -52.0 kJ/mol of atoms
* theoretical density: 6965 kg/m³

```
CeTiGe
1.0
-2.173 -3.293 0.498
3.150 -1.840 1.582
-2.622 5.054 6.103
Ge Ce Ti
2 2 2
direct
0.116 0.116 0.233
0.884 0.884 0.767
0.320 0.320 0.641
0.680 0.680 0.359
0.000 0.500 0.000
0.500 0.000 0.000
```

8.
# TlOsCl

An optimized crystal structure of TlOsCl (PBEsol, Alexandria via LeMat-Bulk).

Summary:
* spin magnetization: 0.00 μB per cell
* formation energy (no corrections): 0.944 eV per atom
* energy above the lowest structure with this stoichiometry: 0.000 eV per atom
* theoretical density: 12331 kg/m³

```
TlOsCl
1.0
2.917 0.000 0.000
0.000 3.620 0.000
-1.459 -1.810 5.484
Tl Os Cl
1 1 1
direct
0.328 0.328 0.656
0.618 0.618 0.236
0.054 0.054 0.108
```

9.
# CrCo2Os

An optimized crystal structure of CrCo2Os (PBEsol, Alexandria via LeMat-Bulk).

Summary:
* spin magnetization: 2.16 μB per cell
* ΔE_f: 17.2 kJ/mol of atoms
* energy above the lowest structure with this stoichiometry: 0.147 eV per atom
* theoretical density: 13057 kg/m³

```
CrCo2Os
1.0
2.934 0.000 0.000
0.000 2.934 0.000
0.000 0.000 5.321
Co Cr Os
2 1 1
direct
0.000 0.000 0.032
0.500 0.500 0.241
0.000 0.000 0.479
0.500 0.500 0.748
```

10.
# InHgPb2

An optimized crystal structure of InHgPb2 (PBEsol, Alexandria via LeMat-Bulk).

Summary:
* spin magnetization: 0.00 μB per cell
* ΔE_f: 2.7 kJ/mol of atoms
* energy above the lowest structure with this stoichiometry: 0.028 eV per atom
* theoretical density: 11194 kg/m³

```
InHgPb2
1.0
3.342 -0.071 0.000
-1.284 3.086 0.000
0.000 0.000 10.591
Pb Hg In
2 1 1
direct
0.000 0.000 0.256
0.000 0.000 0.744
0.500 0.500 0.500
0.500 0.500 0.000
```

11.
# Zr3NbAl12

An optimized crystal structure of Zr3NbAl12 (PBEsol, Alexandria via LeMat-Bulk).

Summary:
* spin magnetization: 0.00 μB per cell
* ΔE_f: -44.2 kJ/mol of atoms
* theoretical density: 4298 kg/m³

```
Zr3NbAl12
1.0
3.955 0.000 0.000
0.000 3.955 0.000
0.000 0.000 17.050
Nb Al Zr
1 12 3
direct
0.500 0.500 0.381
0.500 0.000 0.001
0.000 0.500 0.497
0.000 0.500 0.001
0.500 0.000 0.497
0.500 0.500 0.126
0.000 0.000 0.622
0.000 0.000 0.374
0.500 0.500 0.875
0.000 0.500 0.253
0.500 0.000 0.749
0.500 0.000 0.253
0.000 0.500 0.749
0.000 0.000 0.881
0.000 0.000 0.123
0.500 0.500 0.617
```

12.
# Cr3PbAu

An optimized crystal structure of Cr3PbAu (PBEsol, Alexandria via LeMat-Bulk).

Summary:
* spin magnetization: 12.58 μB per cell
* ΔE_f: 129.7 kJ/mol of atoms
* theoretical density: 7745 kg/m³

```
Cr3PbAu
1.0
-0.182 3.913 3.000
-1.215 -2.945 3.768
4.779 -0.600 1.072
Pb Cr Au
1 3 1
direct
0.500 0.500 0.500
0.000 0.500 0.000
0.000 0.000 0.500
0.500 0.000 0.000
0.000 0.000 0.000
```

Which value of spin magnetization does entry 6 give? 0.00 μB per cell